## Cd2GaPb (PBE)

Data for Cd2GaPb after structural relaxation.

Properties
Volume ... 25.7 A^3/atom
Energy of formation ... 0.121 eV per atom
Energy above the lowest structure with this stoichiometry ... 56.8 meV per atom
Space group ... I-42d
E ... -2.021 eV/atom
Spin magnetization ... 0.00 μB per formula unit

Unit cell a=4.3067 b=4.3067 c=11.5145 alpha=79.22 beta=79.22 gamma=90.00
Sites, in units of the cell vectors:
Ga 0.5000 0.5000 0.0000
Ga 0.2500 0.7500 0.5000
Cd 0.6140 0.1250 0.2500
Cd 0.8750 0.8640 0.7500
Cd 0.1360 0.6250 0.2500
Cd 0.3750 0.3860 0.7500
Pb 0.7500 0.2500 0.5000
Pb 0.0000 0.0000 0.0000